Entry 1:
# Ce2PaGe3 (PBE-GGA, optimized geometry)
# Relative energy among the computed polymorphs   0 meV/atom
# Formation enthalpy at 0 K   -0.589 eV/atom
# Raw total energy   -6.46 eV per atom
data_Ce2PaGe3
_cell_length_a 7.2823
_cell_length_b 12.6125
_cell_length_c 7.2941
_cell_angle_alpha 90.00
_cell_angle_beta 109.46
_cell_angle_gamma 90.00
_space_group_name_H-M_alt 'C 1 2/m 1'
_space_group_IT_number 12
loop_
_space_group_symop_operation_xyz
'x,y,z'
'-x,-y,-z'
'-x,y,-z'
'x,-y,z'
'x+1/2,y+1/2,z'
'-x+1/2,-y+1/2,-z'
'-x+1/2,y+1/2,-z'
'x+1/2,-y+1/2,z'
loop_
_atom_site_label
_atom_site_fract_x
_atom_site_fract_y
_atom_site_fract_z
Ce1 0.0000 0.0000 0.0000
Ce2 0.0000 0.1649 0.5000
Ce3 0.0000 0.5000 0.5000
Pa1 0.0000 0.3328 0.0000
Ge1 0.2404 0.5000 0.2411
Ge2 0.2492 0.3303 0.7575


Entry 2:
# Mg2AlPdI (PBE-GGA, optimized geometry)
# Formation energy from raw total energies   0.12 eV per atom
# Raw total energy   -2.61 eV per atom
data_Mg2AlPdI
_cell_length_a 5.4483
_cell_length_b 5.4483
_cell_length_c 4.6233
_cell_angle_alpha 90.00
_cell_angle_beta 90.00
_cell_angle_gamma 90.00
_space_group_name_H-M_alt 'P 4/m m m'
_space_group_IT_number 123
_space_group_name_Hall '-P 4 2'
loop_
_atom_site_label
_atom_site_fract_x
_atom_site_fract_y
_atom_site_fract_z
Mg1 0.0000 0.5000 0.0000
Al1 0.0000 0.0000 0.0000
Pd1 0.0000 0.0000 0.5000
I1 0.5000 0.5000 0.5000


Entry 3:
# PuAlP (PBE-GGA, optimized geometry)
# Formation enthalpy at 0 K   -0.586 eV/atom
# Raw total energy   -8.41 eV per atom
data_PuAlP
_cell_length_a 4.6103
_cell_length_b 4.6103
_cell_length_c 21.8565
_cell_angle_alpha 90.00
_cell_angle_beta 90.00
_cell_angle_gamma 120.00
_space_group_name_H-M_alt 'R -3 m'
_space_group_IT_number 166
_space_group_name_Hall '-R 3 2"'
loop_
_atom_site_label
_atom_site_fract_x
_atom_site_fract_y
_atom_site_fract_z
Pu1 0.0000 0.0000 0.0914
Al1 0.0000 0.0000 0.3266
P1 0.0000 0.0000 0.2154


Entry 4:
# P2RhIN (PBE-GGA, optimized geometry)
# Formation energy from raw total energies   0.81 eV per atom
# Raw total energy   -4.80 eV per atom
data_P2RhIN
_cell_length_a 5.0048
_cell_length_b 5.0048
_cell_length_c 3.6733
_cell_angle_alpha 90.00
_cell_angle_beta 90.00
_cell_angle_gamma 90.00
_space_group_name_H-M_alt 'P 4/m m m'
_space_group_IT_number 123
_space_group_name_Hall '-P 4 2'
loop_
_atom_site_label
_atom_site_fract_x
_atom_site_fract_y
_atom_site_fract_z
P1 0.0000 0.5000 0.0000
Rh1 0.0000 0.0000 0.0000
I1 0.5000 0.5000 0.5000
N1 0.0000 0.0000 0.5000


Entry 5:
# Mg2BeIn (PBE-GGA, optimized geometry)
# Relative energy among the computed polymorphs   2 meV/atom
# Formation enthalpy at 0 K   0.175 eV/atom
# Raw total energy   -2.24 eV per atom
data_Mg2BeIn
_cell_length_a 3.4715
_cell_length_b 4.2801
_cell_length_c 5.5581
_cell_angle_alpha 90.00
_cell_angle_beta 107.95
_cell_angle_gamma 90.00
_space_group_name_H-M_alt 'P 1 m 1'
_space_group_IT_number 6
loop_
_space_group_symop_operation_xyz
'x,y,z'
'x,-y,z'
loop_
_atom_site_label
_atom_site_fract_x
_atom_site_fract_y
_atom_site_fract_z
Mg1 0.0000 0.0000 0.0000
Mg2 0.3320 0.5000 0.6705
Be1 0.5870 0.5000 0.1811
In1 0.7227 0.0000 0.4478


Entry 6:
# CaAg6F8 (PBE-GGA, optimized geometry)
# Formation energy from raw total energies   -1.51 eV per atom
# Raw total energy   -3.79 eV per atom
data_CaAg6F8
_cell_length_a 9.7050
_cell_length_b 9.7050
_cell_length_c 8.6653
_cell_angle_alpha 90.00
_cell_angle_beta 90.00
_cell_angle_gamma 120.00
_space_group_name_H-M_alt 'R -3'
_space_group_IT_number 148
_space_group_name_Hall '-R 3'
loop_
_atom_site_label
_atom_site_fract_x
_atom_site_fract_y
_atom_site_fract_z
Ca1 0.0000 0.0000 0.0000
Ag1 0.0019 0.2241 0.3752
F1 0.0000 0.0000 0.2872
F2 0.0497 0.7984 0.1000